# GGA-PBE Tb2NdGe, optimized geometry
# Polymorph energy (0 for the lowest one) = 84.1 meV/atom
# Magnetic moment = 0.00 μB/cell
# Formation energy = -245 meV/atom
data_Tb2NdGe
_cell_length_a 3.7537
_cell_length_b 3.7537
_cell_length_c 29.8196
_cell_angle_alpha 90.00
_cell_angle_beta 90.00
_cell_angle_gamma 120.00
_symmetry_space_group_name_H-M 'R -3 m'
_symmetry_Int_Tables_number 166
_symmetry_space_group_name_Hall '-R 3 2"'
loop_
_atom_site_label
_atom_site_type_symbol
_atom_site_fract_x
_atom_site_fract_y
_atom_site_fract_z
Tb1 Tb 0.0000 0.0000 0.2314
Nd1 Nd 0.0000 0.0000 0.0000
Ge1 Ge 0.0000 0.0000 0.5000


# GGA-PBE BSeI2, optimized geometry
# Raw formation energy = 1.459 eV/atom
# Polymorph energy (0 for the lowest one) = 1420.3 meV/atom
# Magnetic moment = 0.00 μB/cell
data_BSeI2
_cell_length_a 7.372
_cell_length_b 7.372
_cell_length_c 7.372
_cell_angle_alpha 90.00
_cell_angle_beta 90.00
_cell_angle_gamma 90.00
_symmetry_space_group_name_H-M 'F m -3 m'
_symmetry_Int_Tables_number 225
_symmetry_space_group_name_Hall '-F 4 2 3'
loop_
_atom_site_label
_atom_site_type_symbol
_atom_site_fract_x
_atom_site_fract_y
_atom_site_fract_z
B1 B 0.000 0.000 0.000
Se1 Se 0.000 0.000 0.500
I1 I 0.250 0.250 0.250